An optimized crystal structure of Cr2SiAg, computed with GGA-PBE.

Cell lengths 8.8923, 8.8923, 8.8923 Å; angles 17.23, 17.23, 17.23 degrees
Fractional positions:
Cr1 0.2426 0.2426 0.2426
Cr2 0.7574 0.7574 0.7574
Si1 0.5000 0.5000 0.5000
Ag1 0.0000 0.0000 0.0000

* crystal system: trigonal


An optimized crystal structure of MgPa3O8, computed with GGA-PBE.

Cell lengths 5.3601, 5.3601, 5.3601 Å; angles 90.00, 90.00, 90.00 degrees
Fractional positions:
Mg1 0.0000 0.0000 0.0000
Pa1 0.0000 0.5000 0.5000
Pa2 0.5000 0.0000 0.5000
Pa3 0.5000 0.5000 0.0000
O1 0.2520 0.2520 0.2520
O2 0.2520 0.2520 0.7480
O3 0.2520 0.7480 0.2520
O4 0.2520 0.7480 0.7480
O5 0.7480 0.2520 0.2520
O6 0.7480 0.2520 0.7480
O7 0.7480 0.7480 0.2520
O8 0.7480 0.7480 0.7480

* crystal system: cubic


no.,energy (eV per atom)
1,-6.522
2,-9.275